# 1
A geometry-optimized NaYMn2Cu structure. Source: Alexandria, functional GGA-PBE.

Results
E_tot	-4.514	eV per atom
symmetry	No. 123
E_form	1.53	eV per atom
crystal system	tetragonal

Unit cell a=4.788 b=5.351 c=4.788 alpha=90.00 beta=90.00 gamma=90.00
Each line ends with the local moment (μB).
Fractional coordinates of all 5 atoms:
Mn 0.000 0.000 0.500  3.84
Mn 0.500 0.000 0.000  3.96
Y 0.000 0.500 0.000  -0.43
Na 0.000 0.000 0.000  -0.04
Cu 0.500 0.500 0.500  0.03

---

# 2
A geometry-optimized NaSrSeBr structure. Source: Alexandria, functional GGA-PBE.

Results
polymorph energy (0 for the lowest one)	0.0	meV/atom
E_tot	-3.777	eV per atom
symmetry	No. 160
crystal system	trigonal

Unit cell a=4.460 b=4.460 c=7.614 alpha=72.97 beta=72.97 gamma=60.00
Fractional coordinates of all 4 atoms:
Na 0.513 0.513 0.462
Sr 0.990 0.990 0.029
Br 0.748 0.748 0.757
Se 0.250 0.250 0.251

---

# 3
A geometry-optimized LiCd3Au2 structure. Source: Alexandria, functional GGA-PBE.

Results
polymorph energy (0 for the lowest one)	72.1	meV/atom
E_tot	-2.074	eV per atom
symmetry	No. 194
E_form	-0.20	eV per atom
crystal system	hexagonal

Unit cell a=4.759 b=4.759 c=11.522 alpha=90.00 beta=90.00 gamma=120.00
Fractional coordinates of all 12 atoms:
Li 0.667 0.333 0.750
Li 0.333 0.667 0.250
Cd 0.333 0.667 0.012
Cd 0.333 0.667 0.488
Cd 0.667 0.333 0.988
Cd 0.667 0.333 0.512
Cd 0.333 0.667 0.750
Cd 0.667 0.333 0.250
Au 0.000 0.000 0.372
Au 0.000 0.000 0.872
Au 0.000 0.000 0.628
Au 0.000 0.000 0.128

---

# 4
A geometry-optimized Pm5PaRu6 structure. Source: Alexandria, functional GGA-PBE.

Results
E_tot	-7.668	eV per atom
symmetry	No. 65
E_form	-0.26	eV per atom
crystal system	orthorhombic

Unit cell a=4.975 b=6.994 c=7.717 alpha=90.00 beta=71.19 gamma=90.00
Fractional coordinates of all 12 atoms:
Pm 0.330 0.000 0.339
Pm 0.333 0.500 0.334
Pm 0.670 0.000 0.661
Pm 0.667 0.500 0.666
Pm 0.000 0.500 0.000
Ru 0.152 0.231 0.697
Ru 0.152 0.769 0.697
Ru 0.500 0.768 0.000
Ru 0.500 0.232 0.000
Ru 0.848 0.231 0.303
Ru 0.848 0.769 0.303
Pa 0.000 0.000 0.000

---

# 5
A geometry-optimized AcNdAu3 structure. Source: Alexandria, functional GGA-PBE.

Results
E_tot	-4.564	eV per atom
symmetry	No. 63
E_form	-0.82	eV per atom
crystal system	orthorhombic

Unit cell a=3.941 b=4.731 c=14.489 alpha=90.00 beta=97.82 gamma=90.00
Fractional coordinates of all 10 atoms:
Nd 0.795 0.250 0.589
Nd 0.205 0.750 0.411
Au 0.377 0.250 0.754
Au 0.623 0.750 0.246
Au 0.474 0.250 0.949
Au 0.685 0.250 0.370
Au 0.526 0.750 0.051
Au 0.315 0.750 0.630
Ac 0.074 0.250 0.147
Ac 0.926 0.750 0.853

---

# 6
A geometry-optimized SbMo5 structure. Source: Alexandria, functional GGA-PBE.

Results
polymorph energy (0 for the lowest one)	0.0	meV/atom
E_tot	-9.628	eV per atom
symmetry	No. 65
crystal system	orthorhombic

Unit cell a=5.351 b=5.351 c=4.507 alpha=90.00 beta=90.00 gamma=130.07
Fractional coordinates of all 6 atoms:
Mo 0.000 0.000 0.500
Mo 0.673 0.327 0.500
Mo 0.828 0.172 0.000
Mo 0.172 0.828 0.000
Mo 0.327 0.673 0.500
Sb 0.500 0.500 0.000

---

Which value of E_tot does entry 3 give? -2.074 eV per atom

---

Which of these has the lowest E_tot? SbMo5

---

Among the records above, which one has the lowest E_tot? SbMo5